Entry from the Alexandria database: an optimized crystal structure of Ba2SrInIr (PBE-GGA).

It has space group P4/mmm (No. 123), with a = 6.152 Å, b = 6.152 Å, c = 5.354 Å, α = 90.00°, β = 90.00° and γ = 90.00°. The asymmetric unit holds Ba at (0.000, 0.500, 0.000), Sr at (0.000, 0.000, 0.500), In at (0.500, 0.500, 0.500) and Ir at (0.500, 0.500, 0.000).

The calculated total energy comes out at -3.54 eV per atom. The formation energy comes out at -110 meV/atom. The energy above the most stable polymorph in this dataset comes out at 18.6 meV/atom.

---

Entry from the Alexandria database: an optimized crystal structure of BaSr2InIr (PBE-GGA).

It has space group P4/mmm (No. 123), with a = 5.817 Å, b = 5.817 Å, c = 6.048 Å, α = 90.00°, β = 90.00° and γ = 90.00°. The asymmetric unit holds Ba at (0.000, 0.000, 0.000), Sr at (0.000, 0.500, 0.500), In at (0.500, 0.500, 0.000) and Ir at (0.000, 0.000, 0.500).

The calculated total energy comes out at -3.51 eV per atom. The formation energy comes out at -134 meV/atom. The energy above the most stable polymorph in this dataset comes out at 38.4 meV/atom.

---

Entry from the Alexandria database: an optimized crystal structure of Ba2SrInIr (PBE-GGA).

It has space group P4/mmm (No. 123), with a = 6.069 Å, b = 6.069 Å, c = 5.824 Å, α = 90.00°, β = 90.00° and γ = 90.00°. The asymmetric unit holds Ba at (0.000, 0.500, 0.000), Sr at (0.000, 0.000, 0.500), In at (0.500, 0.500, 0.500) and Ir at (0.000, 0.000, 0.000).

The calculated total energy comes out at -3.55 eV per atom. The formation energy comes out at -129 meV/atom. The energy above the most stable polymorph in this dataset comes out at 0.0 meV/atom.

---

Q: What is the formula in the second record?
A: BaSr2InIr

---

Q: Which formula does entry 2 have?
A: BaSr2InIr

---

Q: energy above the most stable polymorph in this dataset of number 2 (BaSr2InIr)?
A: 38.4 meV/atom

---

Please write out number 3 again, unchanged.
Entry from the Alexandria database: an optimized crystal structure of Ba2SrInIr (PBE-GGA).

It has space group P4/mmm (No. 123), with a = 6.069 Å, b = 6.069 Å, c = 5.824 Å, α = 90.00°, β = 90.00° and γ = 90.00°. The asymmetric unit holds Ba at (0.000, 0.500, 0.000), Sr at (0.000, 0.000, 0.500), In at (0.500, 0.500, 0.500) and Ir at (0.000, 0.000, 0.000).

The calculated total energy comes out at -3.55 eV per atom. The formation energy comes out at -129 meV/atom. The energy above the most stable polymorph in this dataset comes out at 0.0 meV/atom.